# 1
LiCe2InS4: relaxed, GGA-PBE.

The structure in POSCAR format:
```
LiCe2InS4
1.0
7.205 0.000 0.000
0.000 4.133 0.000
-2.445 0.000 6.896
Li Ce In S
1 2 1 4
Direct
0.000 0.000 0.000
0.000 0.500 0.500
0.500 0.000 0.500
0.500 0.500 0.000
0.235 0.000 0.718
0.248 0.500 0.270
0.752 0.500 0.730
0.765 0.000 0.282
```

Computed properties:
mass density = 4.29 g/cm³
crystal system = monoclinic
total magnetic moment = 2.0 μB per cell
VASP energy = -5.5922 eV/atom

=====

# 2
Tb2Nd3SmS6: relaxed, GGA-PBE.

The structure in POSCAR format:
```
Tb2Nd3SmS6
1.0
3.461 -6.014 0.000
3.461 6.014 0.000
-2.312 0.000 6.582
Tb Nd Sm S
2 3 1 6
Direct
0.166 0.834 0.000
0.834 0.166 0.000
0.000 0.000 0.500
0.335 0.665 0.500
0.665 0.335 0.500
0.500 0.500 0.000
0.082 0.420 0.760
0.241 0.241 0.238
0.420 0.082 0.760
0.580 0.918 0.240
0.759 0.759 0.762
0.918 0.580 0.240
```

Computed properties:
mass density = 6.63 g/cm³
crystal system = monoclinic
total magnetic moment = 0.0 μB per cell
VASP energy = -6.4456 eV/atom

=====

# 3
Li2CdGa2Au5: relaxed, GGA-PBE.

The structure in POSCAR format:
```
Li2CdGa2Au5
1.0
9.692 0.000 0.000
0.000 9.692 0.000
0.000 0.000 3.983
Li Cd Ga Au
4 2 4 10
Direct
0.172 0.328 0.000
0.328 0.828 0.000
0.672 0.172 0.000
0.828 0.672 0.000
0.000 0.000 0.000
0.500 0.500 0.000
0.128 0.628 0.000
0.372 0.128 0.000
0.628 0.872 0.000
0.872 0.372 0.000
0.000 0.500 0.500
0.073 0.799 0.500
0.201 0.073 0.500
0.299 0.573 0.500
0.427 0.299 0.500
0.500 0.000 0.500
0.573 0.701 0.500
0.701 0.427 0.500
0.799 0.927 0.500
0.927 0.201 0.500
```

Computed properties:
mass density = 11.10 g/cm³
energy of formation = -285 meV/atom
crystal system = tetragonal
total magnetic moment = 0.0 μB per cell
VASP energy = -3.0035 eV/atom